# K2Sr2WO6

A relaxed K2Sr2WO6 crystal (GGA+U, Alexandria).

Calculated values
Its total magnetic moment is 0.00 μB/cell. The density is 4.35 Mg/m³. The value obtained for the total DFT energy (no corrections) is -67.9 eV for the cell shown.

Structure (POSCAR):
```
K2Sr2WO6
1.0
3.0987 -5.1948 0.0000
3.0987 5.1948 0.0000
-1.8116 0.0000 6.3164
K Sr W O
2 2 1 6
direct
0.1606 0.8394 0.0000
0.8394 0.1606 0.0000
0.3373 0.6627 0.5000
0.6627 0.3373 0.5000
0.0000 0.0000 0.5000
0.0470 0.3224 0.6736
0.2081 0.2081 0.3194
0.3224 0.0470 0.6736
0.6776 0.9530 0.3264
0.7919 0.7919 0.6806
0.9530 0.6776 0.3264
```